(1)
MnSiW: PBEsol geometry, SCAN.

a = 2.7548 Å, b = 3.9957 Å, c = 3.9957 Å
α = 120.00°, β = 90.00°, γ = 90.00°
With the nearest neighbours (Å) after each atom.
Atoms (fractional coordinates):
W (0.3331, 0.6667, 0.3333)  6 Mn 2.69, 6 Si 2.69, 2 W 2.75
Mn (0.8337, 0.0000, 0.0000)  3 Si 2.31
Si (0.8332, 0.3333, 0.6667)  3 Mn 2.31

## Properties
The volume is 12.697 Å³/atom. The total DFT energy (no corrections) is -98.08 eV for the cell shown. Its theoretical density is 11.6 Mg/m³.

---

(2)
Mn3SiW2: PBEsol geometry, SCAN.

a = 4.7238 Å, b = 4.7238 Å, c = 7.6433 Å
α = 90.00°, β = 90.00°, γ = 120.00°
With the nearest neighbours (Å) after each atom.
Atoms (fractional coordinates):
Mn (0.8283, 0.6566, 0.7500)  4 Mn 2.29-2.43, 2 Si 2.37
Mn (0.1717, 0.3434, 0.2500)  4 Mn 2.29-2.43, 2 Si 2.37
Mn (0.8283, 0.1717, 0.7500)  4 Mn 2.29-2.43, 2 Si 2.37
Mn (0.6566, 0.8283, 0.2500)  4 Mn 2.29-2.43, 2 Si 2.37
Mn (0.1717, 0.8283, 0.2500)  4 Mn 2.29-2.43, 2 Si 2.37
Mn (0.3434, 0.1717, 0.7500)  4 Mn 2.29-2.43, 2 Si 2.37
W (0.3333, 0.6667, 0.5631)  9 Mn 2.73-2.76, 3 Si 2.77, 4 W 2.86-2.89
W (0.3333, 0.6667, 0.9369)  9 Mn 2.73-2.76, 3 Si 2.77, 4 W 2.86-2.89
W (0.6667, 0.3333, 0.4369)  9 Mn 2.73-2.76, 3 Si 2.77, 4 W 2.86-2.89
W (0.6667, 0.3333, 0.0631)  9 Mn 2.73-2.76, 3 Si 2.77, 4 W 2.86-2.89
Si (0.0000, 0.0000, 0.0000)  6 Mn 2.37
Si (0.0000, 0.0000, 0.5000)  6 Mn 2.37

## Properties
The volume is 12.309 Å³/atom. The total DFT energy (no corrections) is -411.19 eV for the cell shown. Its theoretical density is 12.6 Mg/m³.

---

(3)
MnSiW2: PBEsol geometry, SCAN.

a = 4.2428 Å, b = 4.2428 Å, c = 4.2428 Å
α = 60.00°, β = 60.00°, γ = 60.00°
With the nearest neighbours (Å) after each atom.
Atoms (fractional coordinates):
Si (0.2500, 0.2500, 0.2500)  4 W 2.60, 4 Mn 2.60
W (0.0000, 0.0000, 0.0000)  4 W 2.60, 4 Si 2.60
W (0.7500, 0.7500, 0.7500)  4 Mn 2.60, 4 W 2.60
Mn (0.5000, 0.5000, 0.5000)  4 Si 2.60, 4 W 2.60

## Properties
The volume is 13.502 Å³/atom. The total DFT energy (no corrections) is -167.47 eV for the cell shown. Its theoretical density is 13.9 Mg/m³.